A geometry-optimized CrOsO2 structure. Source: the Alexandria database, functional GGA+U.

```
CrOsO2
1.0
-1.905 1.905 6.114
1.905 -1.905 6.114
1.905 1.905 -6.114
Cr Os O
2 2 4
Direct
0.000 0.000 0.000
0.750 0.250 0.500
0.250 0.750 0.500
0.500 0.500 0.000
0.119 0.625 0.994
0.375 0.369 0.494
0.631 0.125 0.006
0.875 0.881 0.506
```

Values from the calculation:
Theoretical density (g/cm³): 10.3
Energy above the most stable polymorph in this dataset (kcal/mol of atoms): 25.42